# 1
Here is a geometry-optimized BeZnGePd structure from OQMD. Energies are from PBE.

Calculated values
E_tot   -3.666 eV/atom
Crystal system   cubic

Unit cell a=6.076 b=6.076 c=6.076 alpha=90.00 beta=90.00 gamma=90.00
Space group F-43m (No. 216)
Symmetry-distinct sites (fractional):
Be 0.000 0.000 0.000 (multiplicity 4)
Zn 0.250 0.250 0.750 (multiplicity 4)
Ge 0.000 0.000 0.500 (multiplicity 4)
Pd 0.250 0.250 0.250 (multiplicity 4)

# 2
Here is a geometry-optimized BeZnGePd structure from OQMD. Energies are from PBE.

Calculated values
E_tot   -3.629 eV/atom
Crystal system   cubic

Unit cell a=6.096 b=6.096 c=6.096 alpha=90.00 beta=90.00 gamma=90.00
Space group F-43m (No. 216)
Symmetry-distinct sites (fractional):
Be 0.000 0.000 0.000 (multiplicity 4)
Zn 0.250 0.250 0.750 (multiplicity 4)
Ge 0.250 0.250 0.250 (multiplicity 4)
Pd 0.000 0.000 0.500 (multiplicity 4)

# 3
Here is a geometry-optimized Pm2BeGe3 structure from OQMD. Energies are from PBE.

Calculated values
E_tot   -5.159 eV/atom
Crystal system   orthorhombic

Unit cell a=4.072 b=4.237 c=7.142 alpha=90.00 beta=90.00 gamma=90.00
Space group Pmm2 (No. 25)
Symmetry-distinct sites (fractional):
Pm 0.000 0.000 0.000 (multiplicity 1)
Pm 0.500 0.000 0.499 (multiplicity 1)
Be 0.500 0.500 0.177 (multiplicity 1)
Ge 0.000 0.500 0.308 (multiplicity 1)
Ge 0.000 0.500 0.659 (multiplicity 1)
Ge 0.500 0.500 0.862 (multiplicity 1)

# 4
Here is a geometry-optimized Pr2Be2SiGe structure from OQMD. Energies are from PBE.

Calculated values
E_tot   -5.115 eV/atom
Crystal system   hexagonal

Unit cell a=3.9966 b=3.9966 c=8.6056 alpha=90.00 beta=90.00 gamma=120.00
Space group P-6m2 (No. 187)
Symmetry-distinct sites (fractional):
Pr 0.0000 0.0000 0.2477 (multiplicity 2)
Be 0.3333 0.6667 0.0000 (multiplicity 1)
Be 0.6667 0.3333 0.5000 (multiplicity 1)
Si 0.6667 0.3333 0.0000 (multiplicity 1)
Ge 0.3333 0.6667 0.5000 (multiplicity 1)